Record 1
## Li2MgSbF (GGA-PBE)

Data for a relaxed structure of Li2MgSbF.

abc: 4.235 4.235 4.492
angles: 90.00 90.00 90.00
Sites, in units of the cell vectors:
Li1 0.000 0.500 0.000
Li2 0.500 0.000 0.000
Mg1 0.000 0.000 0.500
Sb1 0.500 0.500 0.500
F1 0.000 0.000 0.000

Formation energy without anion corrections = -1.386 eV per atom



Record 2
## In3SbAs (GGA-PBE)

Data for a relaxed structure of In3SbAs.

abc: 5.641 5.641 5.641
angles: 90.00 90.00 90.00
Sites, in units of the cell vectors:
In1 0.000 0.000 0.500
In2 0.000 0.500 0.000
In3 0.500 0.000 0.000
Sb1 0.000 0.000 0.000
As1 0.500 0.500 0.500

Energy above the most stable polymorph in this dataset = 0.357 eV/atom
Formation energy without anion corrections = 0.629 eV per atom



Record 3
## Ce3Tl4HgSe8 (GGA-PBE)

Data for a relaxed structure of Ce3Tl4HgSe8.

abc: 9.167 9.167 9.167
angles: 55.78 55.78 55.78
Sites, in units of the cell vectors:
Ce1 0.000 0.500 0.500
Ce2 0.500 0.000 0.500
Ce3 0.500 0.500 0.000
Tl1 0.000 0.000 0.500
Tl2 0.000 0.500 0.000
Tl3 0.500 0.000 0.000
Tl4 0.500 0.500 0.500
Hg1 0.000 0.000 0.000
Se1 0.239 0.239 0.731
Se2 0.239 0.731 0.239
Se3 0.264 0.264 0.264
Se4 0.269 0.761 0.761
Se5 0.731 0.239 0.239
Se6 0.736 0.736 0.736
Se7 0.761 0.269 0.761
Se8 0.761 0.761 0.269

Formation energy without anion corrections = -1.062 eV per atom